Record 1
Here is a relaxed structure of PrNdAu from Alexandria. Energies are from PBE.

Cell lengths 7.0767, 6.7949, 7.6648 Å; angles 96.76, 90.00, 90.00 degrees
Closest atoms and distances in Å follow each position.
Fractional coordinates of all 12 atoms:
Pr 0.3320 0.7029 0.0066  4 Au 3.07-3.18
Pr 0.1680 0.7029 0.5066  4 Au 3.07-3.18
Pr 0.8320 0.2971 0.4934  4 Au 3.07-3.18
Pr 0.6680 0.2971 0.9934  4 Au 3.07-3.18
Au 0.4538 0.4149 0.6718  4 Pr 3.07-3.18, 1 Au 3.07, 3 Nd 3.08-3.30
Au 0.5462 0.5851 0.3282  4 Pr 3.07-3.18, 1 Au 3.07, 3 Nd 3.08-3.30
Au 0.9538 0.5851 0.8282  4 Pr 3.07-3.18, 1 Au 3.07, 3 Nd 3.08-3.30
Au 0.0462 0.4149 0.1718  4 Pr 3.07-3.18, 1 Au 3.07, 3 Nd 3.08-3.30
Nd 0.1615 0.1516 0.8339  3 Au 3.08-3.30
Nd 0.6615 0.8484 0.6661  3 Au 3.08-3.30
Nd 0.8385 0.8484 0.1661  3 Au 3.08-3.30
Nd 0.3385 0.1516 0.3339  3 Au 3.08-3.30

## Properties
**Final energy**: -4.74 eV per atom
**Energy of formation**: -0.47 eV/atom
**Magnetic moment**: 0.0 Bohr magnetons per cell
**Relative energy among the computed polymorphs**: 0.0322 eV/atom

Record 2
Here is a relaxed structure of PrNd5Au6 from Alexandria. Energies are from PBE.

Cell lengths 5.2877, 7.3882, 8.3820 Å; angles 90.00, 108.89, 90.01 degrees
Closest atoms and distances in Å follow each position.
Fractional coordinates of all 12 atoms:
Nd 0.0000 0.5000 0.0000  8 Au 3.21-3.23
Nd 0.3339 0.5000 0.6670  8 Au 3.21-3.22
Nd 0.3338 0.0000 0.6666  8 Au 3.21-3.24
Nd 0.6661 0.5000 0.3330  8 Au 3.21-3.22
Nd 0.6662 0.0000 0.3334  8 Au 3.21-3.24
Au 0.5000 0.2529 0.0000  6 Nd 3.21-3.24, 2 Pr 3.24
Au 0.5000 0.7471 0.0000  6 Nd 3.21-3.24, 2 Pr 3.24
Au 0.1669 0.2509 0.3354  7 Nd 3.21-3.23, 1 Pr 3.24
Au 0.8331 0.7491 0.6646  7 Nd 3.21-3.23, 1 Pr 3.24
Au 0.1669 0.7490 0.3354  7 Nd 3.21-3.23, 1 Pr 3.24
Au 0.8331 0.2510 0.6646  7 Nd 3.21-3.23, 1 Pr 3.24
Pr 0.0000 0.0000 0.0000  8 Au 3.24

## Properties
**Final energy**: -4.78 eV per atom
**Energy of formation**: -0.76 eV/atom
**Magnetic moment**: 0.0 Bohr magnetons per cell

Record 3
Here is a relaxed structure of PrNdAu4 from Alexandria. Energies are from PBE.

Cell lengths 5.4911, 5.4694, 5.4100 Å; angles 89.93, 59.53, 89.99 degrees
Closest atoms and distances in Å follow each position.
Fractional coordinates of all 6 atoms:
Au 0.1667 0.0002 0.1663  3 Nd 3.11-3.16, 5 Au 3.11-3.16, 2 Pr 3.15
Au 0.6656 0.5004 0.1686  5 Au 3.09-3.17, 3 Pr 3.12-3.15, 2 Nd 3.14
Au 0.3344 0.4996 0.8314  5 Au 3.09-3.17, 3 Pr 3.12-3.15, 2 Nd 3.14
Au 0.8333 0.9998 0.8337  3 Nd 3.11-3.16, 5 Au 3.11-3.16, 2 Pr 3.15
Nd 0.5000 0.0000 0.5000  10 Au 3.11-3.16
Pr 0.0000 0.5000 0.5000  10 Au 3.12-3.15

## Properties
**Final energy**: -4.54 eV per atom
**Energy of formation**: -0.76 eV/atom
**Magnetic moment**: 0.0 Bohr magnetons per cell
**Relative energy among the computed polymorphs**: 0.0000 eV/atom

Record 4
Here is a relaxed structure of Pr3Nd2Au2 from Alexandria. Energies are from PBE.

Cell lengths 3.9144, 6.7655, 9.4936 Å; angles 113.84, 90.00, 106.82 degrees
Closest atoms and distances in Å follow each position.
Fractional coordinates of all 7 atoms:
Pr 0.5000 0.0000 0.0000  4 Au 3.04
Pr 0.6131 0.2263 0.4442  3 Au 3.14-3.21
Pr 0.3869 0.7737 0.5558  3 Au 3.14-3.21
Nd 0.8450 0.6899 0.1864  2 Au 3.16
Nd 0.1550 0.3101 0.8136  2 Au 3.16
Au 0.1681 0.3363 0.2270  5 Pr 3.04-3.21, 2 Nd 3.16
Au 0.8319 0.6637 0.7730  5 Pr 3.04-3.21, 2 Nd 3.16

## Properties
**Final energy**: -4.79 eV per atom
**Energy of formation**: -0.44 eV/atom
**Magnetic moment**: 0.0 Bohr magnetons per cell

Record 5
Here is a relaxed structure of PrNd2Au3 from Alexandria. Energies are from PBE.

Cell lengths 5.2928, 8.3685, 7.3965 Å; angles 90.02, 90.05, 71.56 degrees
Closest atoms and distances in Å follow each position.
Fractional coordinates of all 12 atoms:
Au 0.8346 0.3311 0.2535  5 Nd 3.20-3.23, 3 Pr 3.24-3.26
Au 0.1657 0.6689 0.2535  5 Nd 3.20-3.23, 3 Pr 3.24-3.26
Au 0.1655 0.6689 0.7465  5 Nd 3.20-3.23, 3 Pr 3.24-3.26
Au 0.5000 0.0000 0.2523  6 Nd 3.22-3.24, 2 Pr 3.24
Au 0.8343 0.3311 0.7465  5 Nd 3.20-3.23, 3 Pr 3.24-3.26
Au 0.5000 0.0000 0.7477  6 Nd 3.22-3.24, 2 Pr 3.24
Pr 0.3334 0.3332 0.0000  8 Au 3.24-3.26
Pr 0.6666 0.6668 0.0000  8 Au 3.24-3.26
Nd 0.3331 0.3338 0.5000  8 Au 3.21-3.22
Nd 0.6669 0.6662 0.5000  8 Au 3.21-3.22
Nd 0.0000 0.0000 0.0000  8 Au 3.23-3.24
Nd 0.0000 0.0000 0.5000  8 Au 3.20-3.22

## Properties
**Final energy**: -4.78 eV per atom
**Energy of formation**: -0.76 eV/atom
**Magnetic moment**: 0.0 Bohr magnetons per cell
**Relative energy among the computed polymorphs**: 0.0000 eV/atom

Record 6
Here is a relaxed structure of Pr2Nd3Au4 from Alexandria. Energies are from PBE.

Cell lengths 7.5079, 8.9335, 7.9872 Å; angles 90.00, 90.00, 110.40 degrees
Closest atoms and distances in Å follow each position.
Fractional coordinates of all 18 atoms:
Nd 0.0000 0.5000 0.5000  4 Au 3.03-3.04
Nd 0.7351 0.2402 0.8318  6 Au 3.05-3.22
Nd 0.7649 0.7598 0.3318  6 Au 3.05-3.22
Nd 0.2351 0.2402 0.6682  6 Au 3.05-3.22
Nd 0.5000 0.5000 0.0000  4 Au 3.03-3.04
Nd 0.2649 0.7598 0.1682  6 Au 3.05-3.22
Au 0.6315 0.5162 0.6388  1 Au 2.91, 5 Nd 3.03-3.22, 1 Pr 3.23
Au 0.3685 0.4838 0.3612  1 Au 2.91, 5 Nd 3.03-3.22, 1 Pr 3.23
Au 0.3359 0.0720 0.9691  3 Nd 3.05-3.09, 3 Pr 3.16-3.24, 1 Au 3.19
Au 0.6641 0.9280 0.0309  3 Nd 3.05-3.09, 3 Pr 3.16-3.24, 1 Au 3.19
Au 0.8359 0.0720 0.5309  3 Nd 3.05-3.09, 3 Pr 3.16-3.24, 1 Au 3.19
Au 0.8685 0.4838 0.1388  1 Au 2.91, 5 Nd 3.03-3.22, 1 Pr 3.23
Au 0.1315 0.5162 0.8612  1 Au 2.91, 5 Nd 3.03-3.22, 1 Pr 3.23
Au 0.1641 0.9280 0.4691  3 Nd 3.05-3.09, 3 Pr 3.16-3.24, 1 Au 3.19
Pr 0.9490 0.8139 0.8201  5 Au 3.16-3.41
Pr 0.0510 0.1861 0.1799  5 Au 3.16-3.41
Pr 0.4490 0.8139 0.6799  5 Au 3.16-3.41
Pr 0.5510 0.1861 0.3201  5 Au 3.16-3.41

## Properties
**Final energy**: -4.79 eV per atom
**Energy of formation**: -0.68 eV/atom
**Magnetic moment**: 0.0 Bohr magnetons per cell